Material: Sr2WF
Method: DFT, PBE+U
State: relaxed

Computed properties:
D(E_F)	1.50	states/eV per cell
total magnetization	1.250	μB per atom
energy above the lowest structure with this stoichiometry	0.000	eV/atom
uncorrected energy	-15.1	eV/f.u.

Geometry as CIF:
```
data_Sr2WF
_space_group_name_H-M_alt 'P 1'
_space_group_IT_number 1
_cell_length_a 6.905
_cell_length_b 6.905
_cell_length_c 6.905
_cell_angle_alpha 112.15
_cell_angle_beta 112.15
_cell_angle_gamma 104.25
loop_
_space_group_symop_operation_xyz
'x,y,z'
loop_
_atom_site_label
_atom_site_fract_x
_atom_site_fract_y
_atom_site_fract_z
_atom_site_occupancy
Sr1 0.026 0.625 0.901 1
Sr2 0.375 0.276 0.401 1
Sr3 0.724 0.125 0.099 1
Sr4 0.875 0.974 0.599 1
W1 0.250 0.750 0.500 1
W2 0.500 0.500 0.000 1
F1 0.000 0.000 0.000 1
F2 0.750 0.250 0.500 1
```